## Na2TbWO6 (GGA+U)

Data for an optimized crystal structure of Na2TbWO6.

CIF file:
```
data_Na2TbWO6
_chemical_formula_sum 'Na8 Tb4 W4 O24'
_space_group_name_H-M_alt 'F m -3 m'
_space_group_IT_number 225
_space_group_name_Hall '-F 4 2 3'
_cell_length_a 8.370
_cell_length_b 8.370
_cell_length_c 8.370
_cell_angle_alpha 90.00
_cell_angle_beta 90.00
_cell_angle_gamma 90.00
loop_
_atom_site_label
_atom_site_type_symbol
_atom_site_fract_x
_atom_site_fract_y
_atom_site_fract_z
Na1 Na 0.250 0.250 0.250
Tb1 Tb 0.000 0.000 0.000
W1 W 0.000 0.000 0.500
O1 O 0.000 0.000 0.268
```

Properties
Relative energy among the computed polymorphs (meV per atom): 29
Total moment (μB per cell): 4.12
Final energy (eV for the cell shown): -264.3
Crystal system: cubic